A relaxed Rb2NdCl5 crystal. Source: Alexandria via LeMat-Bulk, functional GGA-PBEsol.

Computed properties:
Total magnetic moment = 0.000 μB per atom
Formation energy from raw total energies = -210 kJ per mole of atoms
E_tot = -4.33 eV per atom

a = 13.081 Å, b = 8.789 Å, c = 8.155 Å
α = 90.00°, β = 90.00°, γ = 90.00°
Space group Pnma (No. 62)
Inequivalent atoms, fractional coordinates:
1 Rb 0.172 0.005 0.057 (multiplicity 8)
2 Nd 0.005 0.250 0.572 (multiplicity 4)
3 Cl 0.011 0.250 0.910 (multiplicity 4)
4 Cl 0.073 0.543 0.663 (multiplicity 8)
5 Cl 0.177 0.250 0.380 (multiplicity 4)
6 Cl 0.198 0.750 0.346 (multiplicity 4)